(1)
A plane-wave DFT calculation with PBE-GGA was carried out for crystalline SrLiTlPb at its relaxed geometry.

Cell lengths 7.7535, 7.7535, 7.7535 Å; angles 90.00, 90.00, 90.00 degrees
With the nearest neighbours (Å) after each atom.
Space group F-43m (No. 216)
Inequivalent atoms, fractional coordinates:
Sr 0.0000 0.0000 0.0000 [4 per cell]  4 Tl 3.36, 4 Pb 3.36
Li 0.0000 0.0000 0.5000 [4 per cell]  4 Tl 3.36, 4 Pb 3.36
Tl 0.2500 0.2500 0.7500 [4 per cell]  4 Li 3.36, 4 Sr 3.36
Pb 0.2500 0.2500 0.2500 [4 per cell]  4 Li 3.36, 4 Sr 3.36

Results
Density of states at the Fermi level ... 4.485 states/eV/cell
E_tot ... -44.33 eV for the cell shown
Total magnetization ... 0.00 μB per cell

(2)
A plane-wave DFT calculation with PBE-GGA was carried out for crystalline SrLiTl3Pb at its relaxed geometry.

Cell lengths 4.7545, 15.4901, 9.7482 Å; angles 90.00, 90.00, 90.00 degrees
With the nearest neighbours (Å) after each atom.
Space group Cmcm (No. 63)
Inequivalent atoms, fractional coordinates:
Sr 0.0000 0.1868 0.2500 [4 per cell]  8 Tl 3.48-3.59, 2 Pb 3.63, 2 Li 3.78
Li 0.0000 0.0000 0.0000 [4 per cell]  6 Tl 3.26-3.28, 4 Pb 3.41
Tl 0.0000 0.1396 0.7500 [4 per cell]  2 Li 3.26, 2 Pb 3.32, 4 Tl 3.33, 2 Sr 3.59
Tl 0.0000 0.3540 0.0114 [8 per cell]  2 Li 3.28, 2 Pb 3.31-3.35, 2 Tl 3.33, 3 Sr 3.48-3.54
Pb 0.0000 0.4899 0.7500 [4 per cell]  6 Tl 3.31-3.35, 4 Li 3.41, 2 Sr 3.63

Results
Density of states at the Fermi level ... 8.679 states/eV/cell
E_tot ... -62.73 eV for the cell shown
Total magnetization ... 0.00 μB per cell

(3)
A plane-wave DFT calculation with PBE-GGA was carried out for crystalline SrLi2Tm2Pb2 at its relaxed geometry.

Cell lengths 4.9188, 4.9188, 28.0032 Å; angles 90.00, 90.00, 120.00 degrees
With the nearest neighbours (Å) after each atom.
Space group R-3m (No. 166, hexagonal axes)
Inequivalent atoms, fractional coordinates:
Sr 0.0000 0.0000 0.0000 [3 per cell]  6 Pb 3.62, 2 Tm 3.73, 6 Li 3.84
Li 0.0000 0.0000 0.4257 [6 per cell]  3 Pb 2.86, 3 Tm 3.06
Tm 0.0000 0.0000 0.1332 [6 per cell]  3 Li 3.06, 4 Pb 3.20-3.35, 3 Tm 3.40
Pb 0.0000 0.0000 0.2530 [6 per cell]  3 Li 2.86, 3 Tm 3.20

Results
Density of states at the Fermi level ... 8.495 states/eV/cell
E_tot ... -72.80 eV for the cell shown
Total magnetization ... 0.00 μB per cell

(4)
A plane-wave DFT calculation with PBE-GGA was carried out for crystalline SrLiTmPb at its relaxed geometry.

Cell lengths 7.7870, 7.7870, 7.7870 Å; angles 90.00, 90.00, 90.00 degrees
With the nearest neighbours (Å) after each atom.
Space group F-43m (No. 216)
Inequivalent atoms, fractional coordinates:
Sr 0.0000 0.0000 0.0000 [4 per cell]  4 Pb 3.37, 4 Li 3.37
Li 0.2500 0.2500 0.7500 [4 per cell]  4 Tm 3.37, 4 Sr 3.37
Tm 0.0000 0.0000 0.5000 [4 per cell]  4 Pb 3.37, 4 Li 3.37
Pb 0.2500 0.2500 0.2500 [4 per cell]  4 Tm 3.37, 4 Sr 3.37

Results
Density of states at the Fermi level ... 6.667 states/eV/cell
E_tot ... -50.72 eV for the cell shown
Total magnetization ... 0.00 μB per cell